# Na3PbAu2 PBE relaxed
# Formation energy = -1.22 eV per formula unit
# Mass density = 6.25 g/cm³
data_Na3PbAu2
_symmetry_space_group_name_H-M 'C m c e'
_symmetry_Int_Tables_number 64
_symmetry_space_group_name_Hall '-C 2ac 2'
_cell_length_a 9.595
_cell_length_b 15.055
_cell_length_c 9.865
_cell_angle_alpha 90.00
_cell_angle_beta 90.00
_cell_angle_gamma 90.00
loop_
_atom_site_label
_atom_site_fract_x
_atom_site_fract_y
_atom_site_fract_z
Na1 0.000 0.161 0.227
Na2 0.200 0.127 0.535
Pb1 0.000 0.045 0.851
Au1 0.000 0.225 0.955
Au2 0.250 0.028 0.250